# 1
# Pr4Sm2Tm5

A relaxed structure of Pr4Sm2Tm5 (PBE-GGA, the Alexandria database).

## Properties
Its crystal system is monoclinic. As for the space-group type: No. 12. As for the formation energy: 0.1224 eV per atom. The energy above the most stable polymorph in this dataset comes out at 22 meV per atom.

Cell: 3.5390 8.6882 14.5228 Å, 122.79 97.00 90.00°
With the nearest neighbours (Å) after each atom.
Sites, in units of the cell vectors:
Tm: 0.8688 0.7865 0.7375  3 Pr 3.44-3.60, 5 Tm 3.54-3.84, 3 Sm 3.56
Tm: 0.1879 0.9033 0.3757  3 Sm 3.45-3.62, 5 Tm 3.50-3.84, 3 Pr 3.64-3.65
Tm: 0.8121 0.0967 0.6243  3 Sm 3.45-3.62, 5 Tm 3.50-3.84, 3 Pr 3.64-3.65
Tm: 0.1312 0.2135 0.2625  3 Pr 3.44-3.60, 5 Tm 3.54-3.84, 3 Sm 3.56
Tm: 0.5000 0.0000 0.0000  6 Pr 3.52-3.53, 6 Tm 3.54-3.64
Sm: 0.2745 0.3760 0.5490  1 Pr 3.39, 6 Tm 3.45-3.62, 4 Sm 3.54-3.62
Sm: 0.7255 0.6240 0.4510  1 Pr 3.39, 6 Tm 3.45-3.62, 4 Sm 3.54-3.62
Pr: 0.5901 0.4819 0.1802  1 Sm 3.39, 5 Tm 3.52-3.64, 6 Pr 3.54-3.70
Pr: 0.4099 0.5181 0.8198  1 Sm 3.39, 5 Tm 3.52-3.64, 6 Pr 3.54-3.70
Pr: 0.9584 0.2564 0.9167  4 Tm 3.44-3.65, 7 Pr 3.54-3.70
Pr: 0.0416 0.7436 0.0833  4 Tm 3.44-3.65, 7 Pr 3.54-3.70

# 2
# Pr12Sm3Tm

A relaxed structure of Pr12Sm3Tm (PBE-GGA, the Alexandria database).

## Properties
Its crystal system is tetragonal. As for the space-group type: No. 123. As for the formation energy: 0.0121 eV per atom.

Cell: 5.2100 5.2100 20.8068 Å, 90.00 90.00 90.00°
With the nearest neighbours (Å) after each atom.
Sites, in units of the cell vectors:
Pr: 0.5000 0.0000 0.8767  8 Pr 3.66-3.69, 2 Tm 3.66, 2 Sm 3.69
Pr: 0.0000 0.5000 0.3745  8 Pr 3.68-3.69, 4 Sm 3.69
Pr: 0.5000 0.5000 0.5000  4 Sm 3.68, 8 Pr 3.69
Pr: 0.5000 0.5000 0.0000  8 Pr 3.66, 4 Tm 3.68
Pr: 0.5000 0.0000 0.3745  8 Pr 3.68-3.69, 4 Sm 3.69
Pr: 0.5000 0.0000 0.6255  8 Pr 3.68-3.69, 4 Sm 3.69
Pr: 0.5000 0.5000 0.7514  4 Sm 3.68, 8 Pr 3.69
Pr: 0.0000 0.5000 0.1233  8 Pr 3.66-3.69, 2 Tm 3.66, 2 Sm 3.69
Pr: 0.5000 0.0000 0.1233  2 Tm 3.66, 8 Pr 3.66-3.69, 2 Sm 3.69
Pr: 0.0000 0.5000 0.6255  8 Pr 3.68-3.69, 4 Sm 3.69
Pr: 0.0000 0.5000 0.8767  2 Tm 3.66, 8 Pr 3.66-3.69, 2 Sm 3.69
Pr: 0.5000 0.5000 0.2486  4 Sm 3.68, 8 Pr 3.69
Tm: 0.0000 0.0000 0.0000  12 Pr 3.66-3.68
Sm: 0.0000 0.0000 0.5000  12 Pr 3.68-3.69
Sm: 0.0000 0.0000 0.2487  12 Pr 3.68-3.69
Sm: 0.0000 0.0000 0.7513  12 Pr 3.68-3.69